No. 1
Computed, not measured: a geometry-optimized Li3AsP structure at the GGA-PBE level of DFT.

```
Li3AsP
1.0
4.5661 0.0000 0.0000
0.0000 4.5661 0.0000
0.0000 0.0000 4.5661
P Li As
1 3 1
Cartesian
0.0000 0.0000 0.0000
2.2830 0.0000 0.0000
0.0000 0.0000 2.2830
0.0000 2.2830 0.0000
2.2830 2.2830 2.2830
```

Properties
ΔE_f = -0.378 eV/f.u.
Magnetization = 0.000 μB/f.u.
SG = Pm-3m
VASP energy = -16.179 eV for the cell shown


No. 2
Computed, not measured: a geometry-optimized Li2AsP structure at the GGA-PBE level of DFT.

```
Li2AsP
1.0
1.4090 2.2337 3.5374
-2.6445 0.4856 3.5013
0.8916 -2.1451 3.7539
Li As P
2 1 1
Cartesian
-0.2579 0.4307 8.0944
-0.0860 0.1436 2.6981
-0.1719 0.2871 5.3963
0.0000 0.0000 0.0000
```

Properties
ΔE_f = -1.065 eV/f.u.
Magnetization = 0.000 μB/f.u.
SG = Fm-3m
VASP energy = -14.952 eV for the cell shown


No. 3
Computed, not measured: a geometry-optimized Li2AsP structure at the GGA-PBE level of DFT.

```
Li2AsP
1.0
8.3058 -0.0483 -0.0285
7.7867 2.8904 -0.0285
7.7867 1.3752 2.5425
Li As P
2 1 1
Cartesian
23.7755 4.1990 2.4747
12.0434 2.1270 1.2536
17.9094 3.1630 1.8641
5.9698 1.0543 0.6214
```

Properties
ΔE_f = -0.928 eV/f.u.
Magnetization = 0.001 μB/f.u.
SG = R-3m
VASP energy = -14.815 eV for the cell shown


No. 4
Computed, not measured: a geometry-optimized LiAsP structure at the GGA-PBE level of DFT.

```
LiAsP
1.0
2.7475 0.0000 0.0000
-1.3738 2.3794 0.0000
0.0000 0.0000 7.8057
P Li As
1 1 1
Cartesian
0.0000 1.5863 4.7239
1.3738 0.7931 2.6649
0.0000 0.0000 0.4170
```

Properties
ΔE_f = 0.477 eV/f.u.
Magnetization = 0.000 μB/f.u.
SG = P3m1
VASP energy = -11.497 eV for the cell shown


No. 5
Computed, not measured: a geometry-optimized LiAsP2 structure at the GGA-PBE level of DFT.

```
LiAsP2
1.0
-2.1074 2.6180 2.9602
-4.3386 0.9636 -0.5529
-3.0539 -1.7551 2.7660
Li P As
1 2 1
Cartesian
-2.3750 0.4566 1.2933
-7.1249 1.3698 3.8800
0.0000 0.0000 0.0000
-4.7499 0.9132 2.5867
```

Properties
ΔE_f = 1.239 eV/f.u.
Magnetization = 0.000 μB/f.u.
SG = F-43m
VASP energy = -16.144 eV for the cell shown


No. 6
Computed, not measured: a geometry-optimized Li2AsP structure at the GGA-PBE level of DFT.

```
Li2AsP
1.0
4.9831 0.0000 0.0000
0.0000 2.8331 -0.0022
0.0000 0.0041 4.4167
Li P As
2 1 1
Cartesian
0.0000 0.3555 4.3859
2.4916 0.3580 1.1385
0.0000 1.7718 2.2432
2.4916 1.7746 3.2708
```

Properties
ΔE_f = -1.321 eV/f.u.
Magnetization = 0.000 μB/f.u.
SG = Pmm2
VASP energy = -15.208 eV for the cell shown


No. 7
Computed, not measured: a geometry-optimized LiAsP2 structure at the GGA-PBE level of DFT.

```
LiAsP2
1.0
-1.4586 -0.5270 1.9547
1.5161 -1.8809 0.6242
6.2769 7.2638 6.6424
P As Li
2 1 1
Cartesian
5.8114 6.7252 6.1498
3.6039 4.1706 3.8137
1.5980 0.6120 2.9500
4.7364 4.2439 6.2712
```

Properties
ΔE_f = 0.374 eV/f.u.
Magnetization = 0.000 μB/f.u.
SG = P4/mmm
VASP energy = -17.010 eV for the cell shown


No. 8
Computed, not measured: a geometry-optimized LiAs2P structure at the GGA-PBE level of DFT.

```
LiAs2P
1.0
-3.7310 -0.2941 4.2633
1.2261 -2.2968 5.0403
1.5664 3.8570 -3.8540
Li P As
1 1 2
Cartesian
-1.7086 1.1338 2.5306
0.7700 0.1324 2.9191
-0.1529 -0.1581 0.5678
-1.0996 -1.1373 4.0840
```

Properties
ΔE_f = -0.087 eV/f.u.
Magnetization = 0.000 μB/f.u.
SG = Immm
VASP energy = -16.710 eV for the cell shown


No. 9
Computed, not measured: a geometry-optimized LiAsP structure at the GGA-PBE level of DFT.

```
LiAsP
1.0
-4.0362 -0.3418 -0.7012
-1.3493 -2.1369 -3.2424
-1.8846 -3.6106 0.5578
As P Li
1 1 1
Cartesian
-3.6351 -3.0446 -1.6929
0.0000 0.0000 0.0000
-5.4526 -4.5670 -2.5393
```

Properties
ΔE_f = 0.093 eV/f.u.
Magnetization = 0.000 μB/f.u.
SG = F-43m
VASP energy = -11.881 eV for the cell shown


No. 10
Computed, not measured: a geometry-optimized LiAsP2 structure at the GGA-PBE level of DFT.

```
LiAsP2
1.0
-2.6650 -3.1132 -1.6919
-0.7714 0.2267 4.3601
-2.4016 2.3532 -0.5472
P Li As
2 1 1
Cartesian
-1.7182 -1.4433 1.3341
0.0000 0.0000 0.0000
-1.5865 1.2899 1.9064
-2.5333 -0.3800 -1.1196
```

Properties
ΔE_f = 0.489 eV/f.u.
Magnetization = 0.000 μB/f.u.
SG = Cmmm
VASP energy = -16.894 eV for the cell shown


No. 11
Computed, not measured: a geometry-optimized LiAsP2 structure at the GGA-PBE level of DFT.

```
LiAsP2
1.0
-3.4447 -4.4553 -2.3270
-0.4793 -5.4055 -2.7717
-0.4713 -2.9522 3.1645
As P Li
1 2 1
Cartesian
-3.0609 -8.1336 -3.0329
-2.2239 -6.2917 -1.3867
-3.8979 -9.9756 -4.6791
-1.3345 -4.6794 1.0987
```

Properties
ΔE_f = -0.410 eV/f.u.
Magnetization = 0.000 μB/f.u.
SG = C2/m
VASP energy = -17.793 eV for the cell shown


No. 12
Computed, not measured: a geometry-optimized Li2AsP structure at the GGA-PBE level of DFT.

```
Li2AsP
1.0
-4.3684 0.7803 -0.0789
-3.9366 -1.7554 1.0583
-0.7309 2.0247 4.7921
Li P As
2 1 1
Cartesian
-4.4947 0.5500 2.9329
-0.7541 1.9996 4.7450
-6.7769 0.7873 4.3286
-2.2590 0.2624 1.4429
```

Properties
ΔE_f = -1.251 eV/f.u.
Magnetization = 0.000 μB/f.u.
SG = C2/m
VASP energy = -15.138 eV for the cell shown


No. 13
Computed, not measured: a geometry-optimized LiAs2P structure at the GGA-PBE level of DFT.

```
LiAs2P
1.0
-0.7180 -2.1536 -2.6325
0.2340 -2.7154 2.1576
-6.1468 0.4863 1.2787
P As Li
1 2 1
Cartesian
-4.8314 -2.0714 0.7173
-2.5624 -2.2509 0.2453
-5.4877 0.4342 1.1416
-2.9694 0.2349 0.6177
```

Properties
ΔE_f = -0.014 eV/f.u.
Magnetization = 0.000 μB/f.u.
SG = P4mm
VASP energy = -16.637 eV for the cell shown


No. 14
Computed, not measured: a geometry-optimized Li4AsP structure at the GGA-PBE level of DFT.

```
Li4AsP
1.0
4.2852 0.0615 2.5830
0.7772 -3.3475 3.6371
3.3588 -3.6537 -0.6384
Li As P
4 1 1
Cartesian
4.8368 -4.4285 1.7747
5.2997 -2.5724 3.3841
3.1588 -2.6031 2.0937
3.5471 -4.2755 3.9108
0.0000 0.0000 0.0000
6.3159 -5.2048 4.1862
```

Properties
ΔE_f = -0.182 eV/f.u.
Magnetization = 0.000 μB/f.u.
SG = F-43m
VASP energy = -17.897 eV for the cell shown


No. 15
Computed, not measured: a geometry-optimized LiAsP2 structure at the GGA-PBE level of DFT.

```
LiAsP2
1.0
4.4803 0.0000 0.0000
0.0000 2.6415 0.0108
0.0000 -0.0250 5.9825
Li P As
1 2 1
Cartesian
2.2402 1.9668 3.3394
0.0000 0.6588 0.4623
2.2402 0.6563 1.0737
0.0000 0.6427 4.1145
```

Properties
ΔE_f = -0.371 eV/f.u.
Magnetization = 0.000 μB/f.u.
SG = Pmm2
VASP energy = -17.754 eV for the cell shown


No. 16
Computed, not measured: a geometry-optimized LiAs2P structure at the GGA-PBE level of DFT.

```
LiAs2P
1.0
-1.1747 -6.0936 6.6863
1.5981 -5.3108 7.2429
-0.6199 -3.7128 8.3096
Li P As
1 1 2
Cartesian
-0.0491 -3.7793 5.5597
-0.1474 -11.3378 16.6791
-0.0990 -7.6157 11.2034
-0.1957 -15.0600 22.1547
```

Properties
ΔE_f = 1.091 eV/f.u.
Magnetization = 0.000 μB/f.u.
SG = R-3m
VASP energy = -15.531 eV for the cell shown


No. 17
Computed, not measured: a geometry-optimized LiAs2P structure at the GGA-PBE level of DFT.

```
LiAs2P
1.0
-4.3282 0.7300 -1.1833
-0.1905 -3.2788 3.1433
-0.2703 2.3585 2.4437
Li As P
1 2 1
Cartesian
-2.2993 1.5443 0.6302
-2.2593 -1.2744 0.9800
0.0000 0.0000 0.0000
-0.2304 -0.4601 2.7935
```

Properties
ΔE_f = 0.298 eV/f.u.
Magnetization = 0.000 μB/f.u.
SG = Cmmm
VASP energy = -16.324 eV for the cell shown


No. 18
Computed, not measured: a geometry-optimized LiAs2P structure at the GGA-PBE level of DFT.

```
LiAs2P
1.0
6.4996 0.0401 -0.1513
5.6593 3.1967 -0.1513
-1.6025 -0.4266 4.0153
P As Li
1 2 1
Cartesian
2.3970 0.6381 0.9684
0.0924 0.0246 0.2373
8.3678 2.2276 2.4423
4.9774 1.3251 1.9210
```

Properties
ΔE_f = -0.299 eV/f.u.
Magnetization = 0.000 μB/f.u.
SG = Cm
VASP energy = -16.922 eV for the cell shown


No. 19
Computed, not measured: a geometry-optimized LiAsP2 structure at the GGA-PBE level of DFT.

```
LiAsP2
1.0
-1.7421 2.2950 -0.0809
-2.2125 -1.6502 0.8307
1.6058 1.4728 7.2030
P As Li
2 1 1
Cartesian
1.5880 1.4564 7.1229
0.8207 0.7528 3.6815
-1.5758 0.6906 2.1756
-0.7729 1.4270 5.7771
```

Properties
ΔE_f = 1.143 eV/f.u.
Magnetization = 0.000 μB/f.u.
SG = P4/mmm
VASP energy = -16.240 eV for the cell shown


No. 20
Computed, not measured: a geometry-optimized Li2AsP structure at the GGA-PBE level of DFT.

```
Li2AsP
1.0
-1.8800 -1.9974 4.4500
-0.8726 -5.6733 -2.9151
8.8253 0.7239 4.0533
Li As P
8 4 4
Cartesian
3.9590 -2.0265 6.2393
-0.4976 -2.5289 3.8329
6.4294 -2.2883 4.0951
-0.3567 -4.6586 1.4930
2.2433 -2.3158 2.0161
2.1137 -4.9203 -0.6512
3.8294 -4.6311 3.5720
6.5703 -4.4179 1.7552
4.0781 -3.9921 0.8860
-0.2535 -1.8948 1.1578
6.3262 -5.0520 4.4304
1.9946 -2.9547 4.7021
4.5341 -0.5481 4.0371
1.5386 -6.3988 1.5510
0.1949 -3.2051 -0.6536
5.8778 -3.7417 6.2417
```

Properties
ΔE_f = -1.722 eV/f.u.
Magnetization = 0.000 μB/f.u.
SG = P2_1/c
VASP energy = -62.435 eV for the cell shown


No. 21
Computed, not measured: a geometry-optimized LiAs2P structure at the GGA-PBE level of DFT.

```
LiAs2P
1.0
-0.4635 0.9129 2.9421
1.8620 -2.2872 1.0030
5.6095 4.3608 -0.4693
Li P As
1 1 2
Cartesian
2.1016 0.4030 1.8553
4.9063 2.5835 1.6206
2.9152 2.2663 -0.2439
5.4990 4.2749 -0.4601
```

Properties
ΔE_f = 0.831 eV/f.u.
Magnetization = 0.000 μB/f.u.
SG = P4/mmm
VASP energy = -15.792 eV for the cell shown


No. 22
Computed, not measured: a geometry-optimized LiAs2P structure at the GGA-PBE level of DFT.

```
LiAs2P
1.0
4.7136 0.0000 0.0000
0.0000 2.7268 -0.0101
0.0000 0.0238 5.9455
P As Li
1 2 1
Cartesian
2.3568 2.7461 4.8016
2.3568 0.0103 2.4964
0.0000 0.0225 5.5362
0.0000 1.3710 2.0144
```

Properties
ΔE_f = -0.459 eV/f.u.
Magnetization = 0.000 μB/f.u.
SG = Pmm2
VASP energy = -17.082 eV for the cell shown


No. 23
Computed, not measured: a geometry-optimized LiAs2P structure at the GGA-PBE level of DFT.

```
LiAs2P
1.0
-4.1524 1.2790 1.5702
-3.2901 -3.1714 0.6792
-1.2873 -1.1096 4.2960
As Li P
2 1 1
Cartesian
-2.1825 -0.7505 1.6364
0.0000 0.0000 0.0000
-4.3649 -1.5010 3.2727
-6.5474 -2.2515 4.9091
```

Properties
ΔE_f = 0.814 eV/f.u.
Magnetization = 0.000 μB/f.u.
SG = F-43m
VASP energy = -15.808 eV for the cell shown


No. 24
Computed, not measured: a geometry-optimized LiAsP structure at the GGA-PBE level of DFT.

```
LiAsP
1.0
4.5918 0.0000 0.0000
-2.2959 3.9766 0.0000
0.0000 0.0000 2.7155
P As Li
1 1 1
Cartesian
2.2959 1.3255 2.2636
0.0000 0.0000 2.2619
0.0000 2.6511 0.9055
```

Properties
ΔE_f = -0.139 eV/f.u.
Magnetization = 0.000 μB/f.u.
SG = P-6m2
VASP energy = -12.112 eV for the cell shown


No. 25
Computed, not measured: a geometry-optimized LiAsP2 structure at the GGA-PBE level of DFT.

```
LiAsP2
1.0
-0.3117 -0.0053 -5.4798
-2.4023 -4.1005 -2.7460
-0.6361 3.8223 3.8873
P As Li
2 1 1
Cartesian
-2.5360 -3.8367 -7.6865
-1.1794 0.8411 -2.9346
-1.5020 -2.2723 -4.5524
-2.2035 -1.1745 -1.5037
```

Properties
ΔE_f = 0.119 eV/f.u.
Magnetization = 0.000 μB/f.u.
SG = Imm2
VASP energy = -17.264 eV for the cell shown


No. 26
Computed, not measured: a geometry-optimized Li2AsP structure at the GGA-PBE level of DFT.

```
Li2AsP
1.0
-2.6920 -4.0128 -0.2343
2.0010 -3.5743 2.5739
-1.0615 4.6035 1.0415
P As Li
1 1 2
Cartesian
0.2970 -1.3821 2.3926
-2.0495 -1.6014 0.9885
0.0000 -0.0004 0.0001
-0.3455 -3.7931 1.1697
```

Properties
ΔE_f = -1.629 eV/f.u.
Magnetization = 0.000 μB/f.u.
SG = I4/mmm
VASP energy = -15.516 eV for the cell shown


No. 27
Computed, not measured: a geometry-optimized Li2AsP structure at the GGA-PBE level of DFT.

```
Li2AsP
1.0
5.8896 -0.0466 -0.1664
5.2459 2.6777 -0.1664
-1.4719 -0.3478 4.1081
As Li P
1 2 1
Cartesian
2.5601 0.6049 1.4161
-1.2885 -0.3044 3.7497
6.8451 1.6174 3.1158
4.9070 1.1594 1.4897
```

Properties
ΔE_f = -1.562 eV/f.u.
Magnetization = 0.000 μB/f.u.
SG = Cm
VASP energy = -15.450 eV for the cell shown


No. 28
Computed, not measured: a geometry-optimized LiAsPPt2 structure at the GGA-PBE level of DFT.

```
LiAsPPt2
1.0
-0.0580 -1.6939 4.0366
2.7546 -2.8925 -1.1742
3.2822 2.6543 1.1610
As Pt P Li
1 2 1 1
Cartesian
1.3773 -1.4463 -0.5871
-0.0290 -0.8469 2.0183
1.6411 1.3272 0.5805
2.9894 -0.9660 2.0117
0.0000 0.0000 0.0000
```

Properties
ΔE_f = 3.009 eV/f.u.
Magnetization = 0.000 μB/f.u.
SG = P4/mmm
VASP energy = -21.046 eV for the cell shown


No. 29
Computed, not measured: a geometry-optimized Li2Pu2As2P structure at the GGA-PBE level of DFT.

```
Li2Pu2As2P
1.0
-1.4903 -3.6497 0.6769
3.4382 -4.0827 -2.6693
5.5743 -1.6158 3.5304
Pu As P Li
2 2 1 2
Cartesian
3.5826 -3.2055 2.3849
3.9396 -6.1426 -0.8469
5.7554 -4.4089 0.6720
1.7668 -4.9393 0.8660
0.0000 0.0000 0.0000
5.4189 -6.1277 2.4771
2.1033 -3.2204 -0.9392
```

Properties
ΔE_f = -5.427 eV/f.u.
Magnetization = 9.307 μB/f.u.
SG = P-1
VASP energy = -52.627 eV for the cell shown


No. 30
Computed, not measured: a geometry-optimized RbLiAs2P structure at the GGA-PBE level of DFT.

```
RbLiAs2P
1.0
4.8651 0.0000 0.0000
0.0000 4.8099 0.0000
0.0000 0.0000 4.8651
Rb As Li P
1 2 1 1
Cartesian
2.4325 2.4049 2.4325
2.4325 0.0000 0.0000
0.0000 0.0000 2.4325
0.0000 0.0000 0.0000
0.0000 2.4049 0.0000
```

Properties
ΔE_f = 1.590 eV/f.u.
Magnetization = 0.000 μB/f.u.
SG = P4/mmm
VASP energy = -16.001 eV for the cell shown